No. 1
Pm3MgSi2Pt9: optimized geometry, PBE.

Properties
The uncorrected energy is -6.22 eV per atom. The value obtained for the formation energy from raw total energies is -0.818 eV/atom.

Lattice parameters (Å, degrees): 5.7484 5.7484 10.7669 90.00 90.00 120.00
Fractional positions:
Pm 0.0000 0.0000 0.0000
Pm 0.3333 0.6667 0.5956
Pm 0.6667 0.3333 0.4044
Mg 0.0000 0.0000 0.5000
Si 0.3333 0.6667 0.1604
Si 0.6667 0.3333 0.8396
Pt 0.0000 0.5000 0.0000
Pt 0.1616 0.3232 0.3100
Pt 0.1616 0.8384 0.3100
Pt 0.3232 0.1616 0.6900
Pt 0.5000 0.0000 0.0000
Pt 0.5000 0.5000 0.0000
Pt 0.6768 0.8384 0.3100
Pt 0.8384 0.1616 0.6900
Pt 0.8384 0.6768 0.6900

***

No. 2
ZrMn2Br: optimized geometry, PBE.

Properties
The value obtained for the polymorph energy (0 for the lowest one) is 169 meV/atom. The uncorrected energy is -6.93 eV per atom. The value obtained for the formation energy from raw total energies is 0.215 eV/atom.

Lattice parameters (Å, degrees): 3.2206 3.2206 7.7579 90.00 90.00 90.00
Fractional positions:
Zr 0.0000 0.0000 0.0000
Mn 0.5000 0.5000 0.2418
Mn 0.5000 0.5000 0.7582
Br 0.0000 0.0000 0.5000

***

No. 3
Li12Zn6Cd: optimized geometry, PBE.

Properties
The value obtained for the polymorph energy (0 for the lowest one) is 35 meV/atom. As for the energy relative to the elements: -0.112 eV per atom. The uncorrected energy is -1.77 eV per atom.

Lattice parameters (Å, degrees): 6.8931 6.8931 6.8931 88.92 88.92 88.92
Fractional positions:
Li 0.0237 0.3040 0.9288
Li 0.0712 0.9763 0.6960
Li 0.1185 0.3410 0.4708
Li 0.3040 0.9288 0.0237
Li 0.3410 0.4708 0.1185
Li 0.4708 0.1185 0.3410
Li 0.5292 0.8815 0.6590
Li 0.6590 0.5292 0.8815
Li 0.6960 0.0712 0.9763
Li 0.8815 0.6590 0.5292
Li 0.9288 0.0237 0.3040
Li 0.9763 0.6960 0.0712
Zn 0.2204 0.6144 0.7650
Zn 0.2350 0.7796 0.3856
Zn 0.3856 0.2350 0.7796
Zn 0.6144 0.7650 0.2204
Zn 0.7650 0.2204 0.6144
Zn 0.7796 0.3856 0.2350
Cd 0.5000 0.5000 0.5000

***

No. 4
SrPr6Sm12: optimized geometry, PBE.

Properties
As for the energy relative to the elements: 0.199 eV per atom. The uncorrected energy is -4.38 eV per atom.

Lattice parameters (Å, degrees): 8.9955 8.9955 8.9955 98.88 98.88 98.88
Fractional positions:
Sr 0.0000 0.0000 0.0000
Pr 0.1007 0.1007 0.6525
Pr 0.1007 0.6525 0.1007
Pr 0.3475 0.8993 0.8993
Pr 0.6525 0.1007 0.1007
Pr 0.8993 0.3475 0.8993
Pr 0.8993 0.8993 0.3475
Sm 0.0830 0.3602 0.3602
Sm 0.2397 0.5000 0.7603
Sm 0.2397 0.7603 0.5000
Sm 0.3602 0.0830 0.3602
Sm 0.3602 0.3602 0.0830
Sm 0.5000 0.2397 0.7603
Sm 0.5000 0.7603 0.2397
Sm 0.6398 0.6398 0.9170
Sm 0.6398 0.9170 0.6398
Sm 0.7603 0.2397 0.5000
Sm 0.7603 0.5000 0.2397
Sm 0.9170 0.6398 0.6398

***

No. 5
Ac8NiAu2: optimized geometry, PBE.

Properties
The value obtained for the polymorph energy (0 for the lowest one) is 0 meV/atom. As for the energy relative to the elements: -0.321 eV per atom. The uncorrected energy is -4.43 eV per atom.

Lattice parameters (Å, degrees): 10.2418 10.2418 9.9143 93.28 93.28 23.43
Fractional positions:
Ac 0.0093 0.0093 0.2044
Ac 0.2254 0.2254 0.3300
Ac 0.3463 0.3463 0.0083
Ac 0.4075 0.4075 0.4813
Ac 0.5925 0.5925 0.5187
Ac 0.6537 0.6537 0.9917
Ac 0.7746 0.7746 0.6700
Ac 0.9907 0.9907 0.7956
Ni 0.5000 0.5000 0.0000
Au 0.1605 0.1605 0.7418
Au 0.8395 0.8395 0.2582

***

No. 6
Na2BiTeO: optimized geometry, PBE.

Properties
The value obtained for the polymorph energy (0 for the lowest one) is 0 meV/atom. The uncorrected energy is -3.80 eV per atom. The value obtained for the formation energy from raw total energies is -0.873 eV/atom.

Lattice parameters (Å, degrees): 4.8280 4.8280 4.8259 90.00 90.00 90.00
Fractional positions:
Na 0.0000 0.5000 0.0000
Na 0.5000 0.0000 0.0000
Bi 0.0000 0.0000 0.5000
Te 0.5000 0.5000 0.5000
O 0.0000 0.0000 0.0000

***

No. 7
Sm16Ho6Er7: optimized geometry, PBE.

Properties
As for the energy relative to the elements: 0.216 eV per atom. The uncorrected energy is -4.44 eV per atom.

Lattice parameters (Å, degrees): 11.1915 11.1915 11.1915 60.00 60.00 60.00
Fractional positions:
Sm 0.0511 0.6496 0.6496
Sm 0.1244 0.1244 0.1244
Sm 0.1244 0.1244 0.6268
Sm 0.1244 0.6268 0.1244
Sm 0.3504 0.3504 0.3504
Sm 0.3504 0.3504 0.9489
Sm 0.3504 0.9489 0.3504
Sm 0.3732 0.8756 0.8756
Sm 0.6268 0.1244 0.1244
Sm 0.6496 0.0511 0.6496
Sm 0.6496 0.6496 0.0511
Sm 0.6496 0.6496 0.6496
Sm 0.8756 0.3732 0.8756
Sm 0.8756 0.8756 0.3732
Sm 0.8756 0.8756 0.8756
Sm 0.9489 0.3504 0.3504
Ho 0.2683 0.2683 0.7317
Ho 0.2683 0.7317 0.2683
Ho 0.2683 0.7317 0.7317
Ho 0.7317 0.2683 0.2683
Ho 0.7317 0.2683 0.7317
Ho 0.7317 0.7317 0.2683
Er 0.0000 0.0000 0.0000
Er 0.0000 0.0000 0.5000
Er 0.0000 0.5000 0.0000
Er 0.0000 0.5000 0.5000
Er 0.5000 0.0000 0.0000
Er 0.5000 0.0000 0.5000
Er 0.5000 0.5000 0.0000

***

No. 8
HfTi5Pb3: optimized geometry, PBE.

Properties
As for the energy relative to the elements: -0.021 eV per atom. The uncorrected energy is -6.75 eV per atom.

Lattice parameters (Å, degrees): 8.4197 8.4197 5.7861 90.00 90.00 120.00
Fractional positions:
Hf 0.0000 0.0000 0.0000
Hf 0.0000 0.0000 0.5000
Ti 0.0000 0.3281 0.2500
Ti 0.0000 0.6719 0.7500
Ti 0.3281 0.0000 0.2500
Ti 0.3281 0.3281 0.7500
Ti 0.3333 0.6667 0.0000
Ti 0.3333 0.6667 0.5000
Ti 0.6667 0.3333 0.0000
Ti 0.6667 0.3333 0.5000
Ti 0.6719 0.0000 0.7500
Ti 0.6719 0.6719 0.2500
Pb 0.0000 0.3421 0.7500
Pb 0.0000 0.6579 0.2500
Pb 0.3421 0.0000 0.7500
Pb 0.3421 0.3421 0.2500
Pb 0.6579 0.0000 0.2500
Pb 0.6579 0.6579 0.7500